[1]
10
Lattice="7.181 0.000 0.000 0.000 7.181 0.000 0.000 0.000 4.505" Properties=species:S:1:pos:R:3 comment="La2Si2Ag GGA-PBEsol optimized geometry" space_group="P4/mbm (127)" magmom_total_mub_per_fu=0.0 raw_formation_energy_ev_per_atom=-0.605 pbc="T T T"
La 1.274 2.317 0.000
La 2.317 5.908 0.000
La 4.864 1.274 0.000
La 5.908 4.864 0.000
Si 0.853 4.443 2.252
Si 2.738 0.853 2.252
Si 4.443 6.329 2.252
Si 6.329 2.738 2.252
Ag 0.000 0.000 2.252
Ag 3.591 3.591 2.252

[2]
3
Lattice="4.358 0.000 0.000 -2.179 3.775 0.000 0.000 0.000 4.157" Properties=species:S:1:pos:R:3 comment="LaSiAg GGA-PBEsol optimized geometry" space_group="P3m1 (156)" magmom_total_mub_per_fu=0.0 raw_formation_energy_ev_per_atom=-0.553 pbc="T T T"
La 0.000 0.000 0.000
Si 2.179 1.258 2.085
Ag 0.000 2.516 2.076

[3]
10
Lattice="7.625 0.000 0.000 0.000 7.625 0.000 0.000 0.000 4.405" Properties=species:S:1:pos:R:3 comment="La2Ag2Sn GGA-PBEsol optimized geometry" e_form_mev_per_atom=-463 space_group="P4/mbm (127)" magmom_total_mub_per_fu=0.0 pbc="T T T"
La 1.348 2.464 0.000
La 2.464 6.277 0.000
La 5.160 1.348 0.000
La 6.277 5.160 0.000
Ag 0.964 4.776 2.203
Ag 2.848 0.964 2.203
Ag 4.776 6.660 2.203
Ag 6.660 2.848 2.203
Sn 0.000 0.000 2.203
Sn 3.812 3.812 2.203

[4]
5
Lattice="5.555 0.000 0.000 0.000 5.555 0.000 0.000 0.000 5.189" Properties=species:S:1:pos:R:3 comment="LaY2AgSn GGA-PBEsol optimized geometry" e_form_mev_per_atom=867 space_group="P4/mmm (123)" magmom_total_mub_per_fu=0.0 pbc="T T T"
La 0.000 0.000 0.000
Y 0.000 2.778 0.000
Y 2.778 0.000 0.000
Ag 0.000 0.000 2.595
Sn 2.778 2.778 2.595